# VNiPbO5 (PBE+U, optimized geometry)
data_VNiPbO5
_chemical_formula_sum 'V2 Ni2 Pb2 O10'
_cell_length_a 6.149
_cell_length_b 6.149
_cell_length_c 8.139
_cell_angle_alpha 101.36
_cell_angle_beta 101.36
_cell_angle_gamma 118.40
_symmetry_space_group_name_H-M 'P 1'
_symmetry_Int_Tables_number 1
loop_
_symmetry_equiv_pos_as_xyz
'x,y,z'
loop_
_atom_site_label
_atom_site_type_symbol
_atom_site_fract_x
_atom_site_fract_y
_atom_site_fract_z
_atom_site_occupancy
V1 V 0.037 0.963 0.750 1
V2 V 0.963 0.037 0.250 1
Ni1 Ni 0.484 0.516 0.750 1
Ni2 Ni 0.516 0.484 0.250 1
Pb1 Pb 0.000 0.500 0.000 1
Pb2 Pb 0.500 0.000 0.500 1
O1 O 0.113 0.850 0.575 1
O2 O 0.150 0.887 0.925 1
O3 O 0.195 0.318 0.823 1
O4 O 0.318 0.195 0.323 1
O5 O 0.333 0.667 0.250 1
O6 O 0.667 0.333 0.750 1
O7 O 0.682 0.805 0.677 1
O8 O 0.805 0.682 0.177 1
O9 O 0.850 0.113 0.075 1
O10 O 0.887 0.150 0.425 1
# Magnetic moment   4.0 μB per cell
# Electronic total energy   -6.05 eV per atom
# V   250 Å³ per cell